Record 1
A plane-wave DFT calculation with PBE was carried out for crystalline SmH2ClO2 at its relaxed geometry.

Cell: 6.1113 3.8175 6.7181 Å, 90.00 112.54 90.00°
With the nearest neighbours (Å) after each atom.
Atoms (fractional coordinates):
O1 0.0731 0.7500 0.6656  1 H 0.98
O2 0.3990 0.2500 0.5836  1 H 0.98
O3 0.6010 0.7500 0.4164  1 H 0.98
O4 0.9269 0.2500 0.3344  1 H 0.98
Cl1 0.2546 0.2500 0.0529  3 H 2.46-2.62
Cl2 0.7454 0.7500 0.9471  3 H 2.46-2.62
H1 0.3800 0.2500 0.7216  1 O 0.98
H2 0.7983 0.2500 0.1921  1 O 0.98
H3 0.2017 0.7500 0.8079  1 O 0.98
H4 0.6200 0.7500 0.2784  1 O 0.98
Sm1 0.1899 0.7500 0.3659  6 O 2.38-2.45
Sm2 0.8101 0.2500 0.6341  6 O 2.38-2.45

Results
DFT total energy	-5.947	eV/atom

=====

Record 2
A plane-wave DFT calculation with PBE was carried out for crystalline ZnH6Cl2O3 at its relaxed geometry.

Cell: 6.3251 6.4689 13.9939 Å, 91.43 99.01 95.49°
With the nearest neighbours (Å) after each atom.
Atoms (fractional coordinates):
O1 0.8059 0.6211 0.9867  2 H 0.98-0.99
O2 0.5886 0.2059 0.4696  2 H 0.98
O3 0.6156 0.4559 0.1486  2 H 0.99
O4 0.8186 0.5986 0.5660  2 H 0.99
O5 0.3844 0.5441 0.8514  2 H 0.99
O6 0.5787 0.2066 0.9555  2 H 0.98
O7 0.1814 0.4014 0.4340  2 H 0.99
O8 0.4114 0.7941 0.5304  2 H 0.98
O9 0.4177 0.4009 0.6351  2 H 0.98-0.99
O10 0.5823 0.5991 0.3649  2 H 0.98-0.99
O11 0.1941 0.3789 0.0133  2 H 0.98-0.99
O12 0.4213 0.7934 0.0445  2 H 0.98
Cl1 0.0000 0.9353 0.3855  3 H 2.17-2.29, 1 Zn 2.26
Cl2 0.4637 0.0415 0.2485  3 H 2.21-2.24, 1 Zn 2.29
Cl3 0.1177 0.5444 0.2213  4 H 2.15-2.37, 1 Zn 2.31
Cl4 0.9136 0.0288 0.1154  2 H 2.19-2.20, 1 Zn 2.25
Cl5 0.8823 0.4556 0.7787  4 H 2.15-2.37, 1 Zn 2.31
Cl6 0.5363 0.9585 0.7515  3 H 2.21-2.24, 1 Zn 2.29
Cl7 0.0000 0.0647 0.6145  3 H 2.17-2.29, 1 Zn 2.26
Cl8 0.0864 0.9712 0.8846  2 H 2.19-2.20, 1 Zn 2.25
H1 0.6833 0.1300 0.9955  1 O 0.98
H2 0.2792 0.8403 0.4944  1 O 0.98
H3 0.3167 0.8700 0.0045  1 O 0.98
H4 0.5780 0.1586 0.4016  1 O 0.98
H5 0.1456 0.2342 0.9905  1 O 0.99
H6 0.2271 0.5293 0.8308  1 O 0.99
H7 0.4220 0.8414 0.5984  1 O 0.98
H8 0.5432 0.1377 0.8908  1 O 0.98
H9 0.8617 0.5500 0.6318  1 O 0.99
H10 0.6932 0.7170 0.3652  1 O 0.99
H11 0.4712 0.6135 0.3089  1 O 0.98
H12 0.1423 0.4051 0.0747  1 O 0.98
H13 0.5288 0.3865 0.6911  1 O 0.98
H14 0.7208 0.1597 0.5056  1 O 0.98
H15 0.1334 0.2512 0.4290  1 O 0.99
H16 0.3068 0.2830 0.6348  1 O 0.99
H17 0.8544 0.7658 0.0095  1 O 0.99
H18 0.7729 0.4707 0.1692  1 O 0.99
H19 0.1383 0.4500 0.3682  1 O 0.99
H20 0.4390 0.6709 0.8217  1 O 0.99
H21 0.8666 0.7488 0.5710  1 O 0.99
H22 0.5610 0.3291 0.1783  1 O 0.99
H23 0.8577 0.5949 0.9253  1 O 0.98
H24 0.4568 0.8623 0.1092  1 O 0.98
Zn1 0.5000 0.5000 0.5000  6 O 2.09-2.14
Zn2 0.1164 0.8992 0.2418  4 Cl 2.25-2.31
Zn3 0.8836 0.1008 0.7582  4 Cl 2.25-2.31
Zn4 0.5000 0.5000 0.0000  6 O 2.06-2.13

Results
DFT total energy	-4.381	eV/atom